# 1
The following is a GGA-PBE calculation of a relaxed Sb2TePb2 crystal, from the Alexandria database.

For the total energy, the calculation gives -3.64 eV per atom. The calculation puts the formation energy from raw total energies at 11.3 kJ per mole of atoms. Its density is 8.22 g/cm³.

Cell: 9.7480 9.7480 3.3396 Å, 90.00 90.00 90.00°
Space group P4/mbm (No. 127)
Asymmetric unit:
Sb (0.1119, 0.3881, 0.0000) [4 per cell]
Te (0.0000, 0.0000, 0.5000) [2 per cell]
Pb (0.1813, 0.6813, 0.5000) [4 per cell]

# 2
The following is a GGA-PBE calculation of a relaxed PuHSe2 crystal, from the Alexandria database.

For the total energy, the calculation gives -7.05 eV per atom. Its density is 6.09 g/cm³.

Cell: 4.2810 18.0687 5.6792 Å, 90.00 90.00 90.00°
Space group Cmc2_1 (No. 36)
Asymmetric unit:
Pu (0.0000, 0.1844, 0.0000) [4 per cell]
H (0.0000, 0.4660, 0.3432) [4 per cell]
Se (0.0000, 0.2067, 0.4999) [4 per cell]
Se (0.0000, 0.4245, 0.5735) [4 per cell]

# 3
The following is a GGA-PBE calculation of a relaxed La2GaSi2 crystal, from the Alexandria database.

For the total energy, the calculation gives -5.36 eV per atom. The calculation puts the formation energy from raw total energies at -59.6 kJ per mole of atoms. Its density is 5.70 g/cm³.

Cell: 4.2136 4.1442 13.4687 Å, 90.00 90.00 90.00°
Space group Amm2 (No. 38)
Asymmetric unit:
La (0.0000, 0.0000, 0.0000) [2 per cell]
La (0.0000, 0.0000, 0.2360) [2 per cell]
Ga (0.5000, 0.0000, 0.8174) [2 per cell]
Si (0.5000, 0.0000, 0.4217) [2 per cell]
Si (0.5000, 0.0000, 0.6150) [2 per cell]

# 4
The following is a GGA-PBE calculation of a relaxed CePmCuIr crystal, from the Alexandria database.

For the total energy, the calculation gives -6.32 eV per atom. Its density is 10.26 g/cm³. The energy of formation from the pure elements is -0.412 eV/atom.

Cell: 7.0486 7.0486 7.0486 Å, 90.00 90.00 90.00°
Space group F-43m (No. 216)
Asymmetric unit:
Ce (0.0000, 0.0000, 0.0000) [4 per cell]
Pm (0.0000, 0.0000, 0.5000) [4 per cell]
Cu (0.2500, 0.2500, 0.7500) [4 per cell]
Ir (0.2500, 0.2500, 0.2500) [4 per cell]

# 5
The following is a GGA-PBE calculation of a relaxed CaAgH3 crystal, from the Alexandria database.

For the total energy, the calculation gives -3.15 eV per atom. Its density is 4.39 g/cm³.

Cell: 3.8515 3.8515 3.8515 Å, 90.00 90.00 90.00°
Space group Pm-3m (No. 221)
Asymmetric unit:
Ca (0.0000, 0.0000, 0.0000) [1 per cell]
Ag (0.5000, 0.5000, 0.5000) [1 per cell]
H (0.0000, 0.5000, 0.5000) [3 per cell]

# 6
The following is a GGA-PBE calculation of a relaxed PrDyPdAu crystal, from the Alexandria database.

For the total energy, the calculation gives -5.24 eV per atom. Its density is 10.52 g/cm³. The energy of formation from the pure elements is -0.781 eV/atom.

Cell: 7.2636 7.2636 7.2636 Å, 90.00 90.00 90.00°
Space group F-43m (No. 216)
Asymmetric unit:
Pr (0.0000, 0.0000, 0.0000) [4 per cell]
Dy (0.0000, 0.0000, 0.5000) [4 per cell]
Pd (0.2500, 0.2500, 0.2500) [4 per cell]
Au (0.2500, 0.2500, 0.7500) [4 per cell]

# 7
The following is a GGA-PBE calculation of a relaxed ZnHg2Ge2 crystal, from the Alexandria database.

For the total energy, the calculation gives -2.01 eV per atom. Its density is 9.17 g/cm³. The energy of formation from the pure elements is 0.212 eV/atom.

Cell: 6.6495 6.6495 5.0135 Å, 90.00 90.00 90.00°
Space group P4/mbm (No. 127)
Asymmetric unit:
Zn (0.0000, 0.0000, 0.0000) [2 per cell]
Hg (0.1826, 0.3174, 0.5000) [4 per cell]
Ge (0.1399, 0.6399, 0.0000) [4 per cell]

# 8
The following is a GGA-PBE calculation of a relaxed FeAgIr2 crystal, from the Alexandria database.

For the total energy, the calculation gives -6.85 eV per atom. Its density is 15.15 g/cm³. The energy of formation from the pure elements is 0.408 eV/atom.

Cell: 2.8070 4.6216 9.2596 Å, 90.00 90.00 90.00°
Space group Imm2 (No. 44)
Asymmetric unit:
Fe (0.0000, 0.0000, 0.0000) [2 per cell]
Ag (0.0000, 0.5000, 0.2426) [2 per cell]
Ir (0.0000, 0.0000, 0.4723) [2 per cell]
Ir (0.0000, 0.5000, 0.7312) [2 per cell]

# 9
The following is a GGA-PBE calculation of a relaxed CaLa2YC crystal, from the Alexandria database.

For the total energy, the calculation gives -5.46 eV per atom. Its density is 4.63 g/cm³. The energy of formation from the pure elements is 0.045 eV/atom.

Cell: 5.4571 5.4571 5.0484 Å, 90.00 90.00 90.00°
Space group P4/mmm (No. 123)
Asymmetric unit:
Ca (0.0000, 0.0000, 0.0000) [1 per cell]
La (0.0000, 0.5000, 0.5000) [2 per cell]
Y (0.5000, 0.5000, 0.0000) [1 per cell]
C (0.5000, 0.5000, 0.5000) [1 per cell]

# 10
The following is a GGA-PBE calculation of a relaxed Na2TaAgS4 crystal, from the Alexandria database.

For the total energy, the calculation gives -5.11 eV per atom. The calculation puts the formation energy from raw total energies at -84.3 kJ per mole of atoms. Its density is 4.36 g/cm³.

Cell: 7.3984 7.3984 6.4465 Å, 90.00 90.00 90.00°
Space group I-42m (No. 121)
Asymmetric unit:
Na (0.0000, 0.5000, 0.0000) [4 per cell]
Ta (0.0000, 0.0000, 0.0000) [2 per cell]
Ag (0.0000, 0.0000, 0.5000) [2 per cell]
S (0.1784, 0.1784, 0.7904) [8 per cell]

# 11
The following is a GGA-PBE calculation of a relaxed BaTe2P crystal, from the Alexandria database.

For the total energy, the calculation gives -3.80 eV per atom. The calculation puts the formation energy from raw total energies at -38.5 kJ per mole of atoms. Its density is 4.07 g/cm³.

Cell: 6.6729 6.6729 15.5157 Å, 90.00 90.00 90.00°
Space group I-42d (No. 122)
Asymmetric unit:
Ba (0.0000, 0.0000, 0.0000) [4 per cell]
Te (0.1522, 0.2500, 0.6250) [8 per cell]
P (0.0000, 0.0000, 0.5000) [4 per cell]

# 12
The following is a GGA-PBE calculation of a relaxed Ca2LaSc crystal, from the Alexandria database.

For the total energy, the calculation gives -3.59 eV per atom. Its density is 3.11 g/cm³. The energy of formation from the pure elements is 0.222 eV/atom.

Cell: 5.6888 5.6888 4.3553 Å, 90.00 90.00 90.00°
Space group P4/mmm (No. 123)
Asymmetric unit:
Ca (0.0000, 0.5000, 0.0000) [2 per cell]
La (0.0000, 0.0000, 0.5000) [1 per cell]
Sc (0.5000, 0.5000, 0.5000) [1 per cell]